This record from the Alexandria database describes crystalline Tb7HoTm2 at its relaxed geometry. The functional is PBE.

Computed properties:
Relative energy among the computed polymorphs   639 meV/atom
Space group   Cmmm

abc: 5.3581 9.3828 9.3828
angles: 124.83 90.00 90.00
With the nearest neighbours (Å) after each atom.
Fractional coordinates of all 10 atoms:
Tb  0.0000  0.7963  0.2037  2 Tm 3.10, 1 Ho 3.39, 4 Tb 3.45
Tb  0.0000  0.2037  0.7963  2 Tm 3.10, 1 Ho 3.39, 4 Tb 3.45
Tb  0.5000  0.0667  0.2899  4 Tb 3.10-3.45, 2 Tm 3.18-3.45
Tb  0.5000  0.9333  0.7101  4 Tb 3.10-3.45, 2 Tm 3.18-3.45
Tb  0.5000  0.2899  0.0667  4 Tb 3.10-3.45, 2 Tm 3.18-3.45
Tb  0.5000  0.7101  0.9333  4 Tb 3.10-3.45, 2 Tm 3.18-3.45
Tb  0.5000  0.5000  0.5000  4 Tb 3.36, 2 Tm 3.37
Ho  0.0000  0.0000  0.0000  10 Tb 3.39-3.61
Tm  0.5000  0.7029  0.2971  7 Tb 3.10-3.45
Tm  0.5000  0.2971  0.7029  7 Tb 3.10-3.45


This record from the Alexandria database describes crystalline TbHo3Tm8 at its relaxed geometry. The functional is PBE.

Computed properties:
Space group   Imm2

abc: 8.3060 8.3114 8.3060
angles: 96.37 136.23 99.59
With the nearest neighbours (Å) after each atom.
Fractional coordinates of all 12 atoms:
Tb  0.1668  0.0000  0.1668  2 Ho 3.46, 10 Tm 3.46-3.58
Ho  0.5002  0.7497  0.2498  10 Tm 3.45-3.58, 1 Ho 3.45, 1 Tb 3.46
Ho  0.5001  0.2503  0.7505  10 Tm 3.45-3.58, 1 Ho 3.45, 1 Tb 3.46
Ho  0.1665  0.5000  0.6665  10 Tm 3.45-3.58, 2 Ho 3.45
Tm  0.5004  0.3332  0.1669  7 Tm 3.45-3.58, 4 Ho 3.45-3.58, 1 Tb 3.58
Tm  0.5003  0.8330  0.6674  7 Tm 3.45-3.58, 3 Ho 3.46-3.57, 2 Tb 3.57-3.58
Tm  0.8337  0.6668  0.1672  7 Tm 3.45-3.58, 4 Ho 3.45-3.58, 1 Tb 3.58
Tm  0.8344  0.1670  0.6673  7 Tm 3.45-3.58, 3 Ho 3.46-3.57, 2 Tb 3.57-3.58
Tm  0.1663  0.4174  0.2499  7 Tm 3.45-3.58, 4 Ho 3.45-3.58, 1 Tb 3.46
Tm  0.8325  0.0834  0.2497  7 Tm 3.45-3.58, 4 Ho 3.45-3.58, 1 Tb 3.46
Tm  0.8325  0.5826  0.7490  7 Tm 3.45-3.58, 4 Ho 3.45-3.58, 1 Tb 3.46
Tm  0.1664  0.9166  0.7491  7 Tm 3.45-3.58, 4 Ho 3.45-3.58, 1 Tb 3.46


This record from the Alexandria database describes crystalline Tb2Ho12Tm5 at its relaxed geometry. The functional is PBE.

Computed properties:
Relative energy among the computed polymorphs   239 meV/atom
Space group   C2/m

abc: 8.3972 9.2542 8.9092
angles: 100.14 90.00 116.98
With the nearest neighbours (Å) after each atom.
Fractional coordinates of all 19 atoms:
Tb  0.6688  0.0000  0.0000  1 Tb 2.83
Tb  0.3312  0.0000  0.0000  1 Tb 2.83
Ho  0.0340  0.0681  0.1826  1 Tm 2.99, 2 Tb 3.22, 1 Ho 3.23
Ho  0.1119  0.6418  0.7868  1 Tb 3.20, 4 Ho 3.23-3.51, 4 Tm 3.30-3.46
Ho  0.5299  0.6418  0.7868  1 Tb 3.20, 4 Ho 3.23-3.51, 4 Tm 3.30-3.46
Ho  0.1727  0.7549  0.2733  4 Ho 3.29-3.51, 2 Tm 3.35-3.56, 1 Tb 3.47
Ho  0.5822  0.7549  0.2733  4 Ho 3.29-3.51, 2 Tm 3.35-3.56, 1 Tb 3.47
Ho  0.4416  0.8833  0.6203  7 Ho 3.15-3.51
Ho  0.5584  0.1167  0.3797  7 Ho 3.15-3.51
Ho  0.8273  0.2451  0.7267  4 Ho 3.29-3.51, 2 Tm 3.35-3.56, 1 Tb 3.47
Ho  0.4178  0.2451  0.7267  4 Ho 3.29-3.51, 2 Tm 3.35-3.56, 1 Tb 3.47
Ho  0.8881  0.3582  0.2132  1 Tb 3.20, 4 Ho 3.23-3.51, 4 Tm 3.30-3.46
Ho  0.4701  0.3582  0.2132  1 Tb 3.20, 4 Ho 3.23-3.51, 4 Tm 3.30-3.46
Ho  0.9660  0.9319  0.8174  1 Tm 2.99, 2 Tb 3.22, 1 Ho 3.23
Tm  0.2173  0.4347  0.4930  6 Ho 3.33-3.67, 1 Tm 3.60
Tm  0.1922  0.3844  0.9706  7 Ho 3.30-3.51
Tm  0.0000  0.0000  0.5000  2 Ho 2.99
Tm  0.8078  0.6156  0.0294  7 Ho 3.30-3.51
Tm  0.7827  0.5653  0.5070  6 Ho 3.33-3.67, 1 Tm 3.60


This record from the Alexandria database describes crystalline Tb3Ho3Tm at its relaxed geometry. The functional is PBE.

Computed properties:
Relative energy among the computed polymorphs   138 meV/atom
Space group   R-3

abc: 6.1313 6.1313 14.4988
angles: 77.79 77.79 60.00
With the nearest neighbours (Å) after each atom.
Fractional coordinates of all 14 atoms:
Tb  0.1990  0.8676  0.3969  3 Ho 3.48, 9 Tb 3.52-3.55
Tb  0.5366  0.1990  0.3969  3 Ho 3.48, 9 Tb 3.52-3.55
Tb  0.8676  0.5366  0.3969  3 Ho 3.48, 9 Tb 3.52-3.55
Tb  0.1324  0.4634  0.6031  3 Ho 3.48, 9 Tb 3.52-3.55
Tb  0.4634  0.8010  0.6031  3 Ho 3.48, 9 Tb 3.52-3.55
Tb  0.8010  0.1324  0.6031  3 Ho 3.48, 9 Tb 3.52-3.55
Ho  0.9345  0.2682  0.1967  2 Tm 3.44, 3 Tb 3.48, 6 Ho 3.54-3.55
Ho  0.6005  0.9345  0.1967  2 Tm 3.44, 3 Tb 3.48, 6 Ho 3.54-3.55
Ho  0.2682  0.6005  0.1967  2 Tm 3.44, 3 Tb 3.48, 6 Ho 3.54-3.55
Ho  0.7318  0.3995  0.8033  2 Tm 3.44, 3 Tb 3.48, 6 Ho 3.54-3.55
Ho  0.3995  0.0655  0.8033  2 Tm 3.44, 3 Tb 3.48, 6 Ho 3.54-3.55
Ho  0.0655  0.7318  0.8033  2 Tm 3.44, 3 Tb 3.48, 6 Ho 3.54-3.55
Tm  0.6667  0.6667  0.9999  6 Ho 3.44, 3 Tm 3.54
Tm  0.3333  0.3333  0.0001  6 Ho 3.44, 3 Tm 3.54


This record from the Alexandria database describes crystalline Tb6HoTm12 at its relaxed geometry. The functional is PBE.

Computed properties:
Relative energy among the computed polymorphs   141 meV/atom
Space group   R-3m

abc: 9.2026 9.2026 9.2026
angles: 109.35 109.35 109.35
With the nearest neighbours (Å) after each atom.
Fractional coordinates of all 19 atoms:
Tb  0.0650  0.6960  0.0650  3 Tb 3.04-3.37, 1 Ho 3.24
Tb  0.0650  0.0650  0.6960  3 Tb 3.04-3.37, 1 Ho 3.24
Tb  0.6960  0.0650  0.0650  3 Tb 3.04-3.37, 1 Ho 3.24
Tb  0.9350  0.9350  0.3040  3 Tb 3.04-3.37, 1 Ho 3.24
Tb  0.9350  0.3040  0.9350  3 Tb 3.04-3.37, 1 Ho 3.24
Tb  0.3040  0.9350  0.9350  3 Tb 3.04-3.37, 1 Ho 3.24
Ho  0.0000  0.0000  0.0000  6 Tb 3.24, 6 Tm 3.51
Tm  0.7909  0.2091  0.5000  4 Tm 3.28-3.31, 4 Tb 3.46-3.49
Tm  0.3882  0.1563  0.3882  4 Tm 3.31-3.48, 1 Ho 3.51, 3 Tb 3.62-3.65
Tm  0.3882  0.3882  0.1563  4 Tm 3.31-3.48, 1 Ho 3.51, 3 Tb 3.62-3.65
Tm  0.8437  0.6118  0.6118  4 Tm 3.31-3.48, 1 Ho 3.51, 3 Tb 3.62-3.65
Tm  0.6118  0.6118  0.8437  4 Tm 3.31-3.48, 1 Ho 3.51, 3 Tb 3.62-3.65
Tm  0.6118  0.8437  0.6118  4 Tm 3.31-3.48, 1 Ho 3.51, 3 Tb 3.62-3.65
Tm  0.5000  0.7909  0.2091  4 Tm 3.28-3.31, 4 Tb 3.46-3.49
Tm  0.2091  0.5000  0.7909  4 Tm 3.28-3.31, 4 Tb 3.46-3.49
Tm  0.2091  0.7909  0.5000  4 Tm 3.28-3.31, 4 Tb 3.46-3.49
Tm  0.5000  0.2091  0.7909  4 Tm 3.28-3.31, 4 Tb 3.46-3.49
Tm  0.7909  0.5000  0.2091  4 Tm 3.28-3.31, 4 Tb 3.46-3.49
Tm  0.1563  0.3882  0.3882  4 Tm 3.31-3.48, 1 Ho 3.51, 3 Tb 3.62-3.65


This record from the Alexandria database describes crystalline TbHo5Tm8 at its relaxed geometry. The functional is PBE.

Computed properties:
Space group   I-4

abc: 8.3127 8.3127 8.3127
angles: 111.00 106.46 111.00
With the nearest neighbours (Å) after each atom.
Fractional coordinates of all 14 atoms:
Tb  0.2500  0.5000  0.7500  4 Tm 3.20
Ho  0.0361  0.3242  0.1350  8 Tm 3.30-3.46, 2 Ho 3.54
Ho  0.8650  0.9011  0.1893  8 Tm 3.30-3.46, 2 Ho 3.54
Ho  0.8107  0.6758  0.7119  8 Tm 3.30-3.46, 2 Ho 3.54
Ho  0.5000  0.0000  0.5000  8 Tm 3.07-3.26
Ho  0.2881  0.0989  0.9639  8 Tm 3.30-3.46, 2 Ho 3.54
Tm  0.1620  0.7387  0.0800  4 Ho 3.07-3.39, 1 Tb 3.20
Tm  0.9200  0.0820  0.6587  4 Ho 3.07-3.39, 1 Tb 3.20
Tm  0.7289  0.2532  0.3341  5 Ho 3.26-3.46, 3 Tm 3.52-3.57
Tm  0.6659  0.3948  0.9191  5 Ho 3.26-3.46, 3 Tm 3.52-3.57
Tm  0.5243  0.6052  0.2711  5 Ho 3.26-3.46, 3 Tm 3.52-3.57
Tm  0.5767  0.9180  0.8380  4 Ho 3.07-3.39, 1 Tb 3.20
Tm  0.3413  0.2613  0.4233  4 Ho 3.07-3.39, 1 Tb 3.20
Tm  0.0809  0.7468  0.4757  5 Ho 3.26-3.46, 3 Tm 3.52-3.57


This record from the Alexandria database describes crystalline Tb3Ho7Tm2 at its relaxed geometry. The functional is PBE.

Computed properties:
Relative energy among the computed polymorphs   0 meV/atom
Space group   P2/m

abc: 3.5107 6.2937 16.9997
angles: 90.16 90.00 90.00
With the nearest neighbours (Å) after each atom.
Fractional coordinates of all 12 atoms:
Tb  0.5000  0.5000  0.0000  10 Ho 3.50-3.60, 2 Tb 3.51
Tb  0.0000  0.0026  0.3413  2 Tb 3.51, 7 Ho 3.53-3.61, 4 Tm 3.58-3.64
Tb  0.0000  0.9974  0.6587  2 Tb 3.51, 7 Ho 3.53-3.61, 4 Tm 3.58-3.64
Ho  0.5000  0.2455  0.4980  2 Ho 3.09-3.20, 2 Tm 3.36
Ho  0.5000  0.7545  0.5020  2 Ho 3.09-3.20, 2 Tm 3.36
Ho  0.0000  0.6754  0.1662  2 Tm 3.41, 7 Ho 3.49-3.61, 3 Tb 3.50-3.61
Ho  0.0000  0.0000  0.0000  8 Ho 3.49-3.52, 4 Tb 3.60
Ho  0.0000  0.3246  0.8338  2 Tm 3.41, 7 Ho 3.49-3.61, 3 Tb 3.50-3.61
Ho  0.5000  0.8251  0.8325  1 Tm 3.41, 8 Ho 3.51-3.61, 3 Tb 3.51-3.61
Ho  0.5000  0.1749  0.1675  1 Tm 3.41, 8 Ho 3.51-3.61, 3 Tb 3.51-3.61
Tm  0.5000  0.5078  0.3262  5 Ho 3.36-3.41, 2 Tm 3.51, 4 Tb 3.58-3.64
Tm  0.5000  0.4922  0.6738  5 Ho 3.36-3.41, 2 Tm 3.51, 4 Tb 3.58-3.64


This record from the Alexandria database describes crystalline TbHo5Tm4 at its relaxed geometry. The functional is PBE.

Computed properties:
Space group   I4

abc: 6.2506 7.7649 7.7649
angles: 80.68 66.27 66.27
With the nearest neighbours (Å) after each atom.
Fractional coordinates of all 10 atoms:
Tb  0.2226  0.0000  0.0000  1 Ho 2.86
Ho  0.8069  0.3775  0.9100  4 Tm 3.18-3.46, 1 Ho 3.24, 1 Tb 3.24
Ho  0.1844  0.9100  0.6225  4 Tm 3.18-3.46, 1 Ho 3.24, 1 Tb 3.24
Ho  0.7169  0.0900  0.3775  4 Tm 3.18-3.46, 1 Ho 3.24, 1 Tb 3.24
Ho  0.0944  0.6225  0.0900  4 Tm 3.18-3.46, 1 Ho 3.24, 1 Tb 3.24
Ho  0.6797  0.0000  0.0000  1 Tb 2.86
Tm  0.4017  0.3968  0.7025  4 Ho 3.18-3.46, 1 Tm 3.23
Tm  0.7985  0.7025  0.6032  4 Ho 3.18-3.46, 1 Tm 3.23
Tm  0.1042  0.2975  0.3968  4 Ho 3.18-3.46, 1 Tm 3.23
Tm  0.5010  0.6032  0.2975  4 Ho 3.18-3.46, 1 Tm 3.23


This record from the Alexandria database describes crystalline Tb6Ho12Tm at its relaxed geometry. The functional is PBE.

Computed properties:
Relative energy among the computed polymorphs   302 meV/atom
Space group   R-3m

abc: 9.2412 9.2412 9.2412
angles: 107.34 107.34 107.34
With the nearest neighbours (Å) after each atom.
Fractional coordinates of all 19 atoms:
Tb  0.6810  0.2918  0.6810  8 Ho 3.35-3.55, 2 Tb 3.50
Tb  0.6810  0.6810  0.2918  8 Ho 3.35-3.55, 2 Tb 3.50
Tb  0.2918  0.6810  0.6810  8 Ho 3.35-3.55, 2 Tb 3.50
Tb  0.3190  0.3190  0.7082  8 Ho 3.35-3.55, 2 Tb 3.50
Tb  0.3190  0.7082  0.3190  8 Ho 3.35-3.55, 2 Tb 3.50
Tb  0.7082  0.3190  0.3190  8 Ho 3.35-3.55, 2 Tb 3.50
Ho  0.8879  0.1121  0.5000  5 Ho 3.34-3.67, 4 Tb 3.37-3.45
Ho  0.3270  0.0932  0.3270  1 Tm 3.23, 4 Tb 3.35-3.55, 4 Ho 3.40-3.48
Ho  0.3270  0.3270  0.0932  1 Tm 3.23, 4 Tb 3.35-3.55, 4 Ho 3.40-3.48
Ho  0.9068  0.6730  0.6730  1 Tm 3.23, 4 Tb 3.35-3.55, 4 Ho 3.40-3.48
Ho  0.6730  0.6730  0.9068  1 Tm 3.23, 4 Tb 3.35-3.55, 4 Ho 3.40-3.48
Ho  0.6730  0.9068  0.6730  1 Tm 3.23, 4 Tb 3.35-3.55, 4 Ho 3.40-3.48
Ho  0.5000  0.8879  0.1121  5 Ho 3.34-3.67, 4 Tb 3.37-3.45
Ho  0.1121  0.5000  0.8879  5 Ho 3.34-3.67, 4 Tb 3.37-3.45
Ho  0.1121  0.8879  0.5000  5 Ho 3.34-3.67, 4 Tb 3.37-3.45
Ho  0.5000  0.1121  0.8879  5 Ho 3.34-3.67, 4 Tb 3.37-3.45
Ho  0.8879  0.5000  0.1121  5 Ho 3.34-3.67, 4 Tb 3.37-3.45
Ho  0.0932  0.3270  0.3270  1 Tm 3.23, 4 Tb 3.35-3.55, 4 Ho 3.40-3.48
Tm  0.0000  0.0000  0.0000  6 Ho 3.23


This record from the Alexandria database describes crystalline Tb3Ho2Tm at its relaxed geometry. The functional is PBE.

Computed properties:
Space group   C2/c

abc: 7.1223 6.1677 9.4573
angles: 102.55 112.12 90.00
With the nearest neighbours (Å) after each atom.
Fractional coordinates of all 12 atoms:
Tb  0.8743  0.2500  0.0000  2 Ho 3.50, 6 Tb 3.51-3.57, 4 Tm 3.55-3.57
Tb  0.1257  0.7500  0.0000  2 Ho 3.50, 6 Tb 3.51-3.57, 4 Tm 3.55-3.57
Tb  0.0418  0.0271  0.3342  5 Tb 3.49-3.56, 6 Ho 3.50-3.57, 1 Tm 3.51
Tb  0.7077  0.4729  0.6658  5 Tb 3.49-3.56, 6 Ho 3.50-3.57, 1 Tm 3.51
Tb  0.2923  0.5271  0.3342  5 Tb 3.49-3.56, 6 Ho 3.50-3.57, 1 Tm 3.51
Tb  0.9582  0.9729  0.6658  5 Tb 3.49-3.56, 6 Ho 3.50-3.57, 1 Tm 3.51
Ho  0.7911  0.5287  0.3329  2 Tm 3.50, 7 Tb 3.50-3.57, 3 Ho 3.52-3.56
Ho  0.5418  0.0287  0.3329  2 Tm 3.50, 7 Tb 3.50-3.57, 3 Ho 3.52-3.56
Ho  0.4582  0.9713  0.6671  2 Tm 3.50, 7 Tb 3.50-3.57, 3 Ho 3.52-3.56
Ho  0.2089  0.4713  0.6671  2 Tm 3.50, 7 Tb 3.50-3.57, 3 Ho 3.52-3.56
Tm  0.6242  0.7500  0.0000  4 Ho 3.50, 6 Tb 3.51-3.57, 2 Tm 3.56
Tm  0.3758  0.2500  0.0000  4 Ho 3.50, 6 Tb 3.51-3.57, 2 Tm 3.56


Calculated values (eV/atom) of formation enthalpy at 0 K for the records, taken in order: 0.690 0.001 0.261 0.147 0.266 0.256 0.072 0.313 0.459 0.002.